Record 1
Y5Ir2Pb: relaxed, PBE-GGA.

## Properties
E_form: -0.6913 eV/atom
Space group: No. 140
Density of states at the Fermi level: 1.04 states/eV/atom

```
Y5Ir2Pb
1.0
-4.126 -5.422 -3.845
0.533 4.241 -6.553
7.570 -2.649 3.572
Y Pb Ir
10 2 4
direct
0.000 0.000 0.000
0.975 0.475 0.266
0.709 0.209 0.734
0.025 0.525 0.734
0.291 0.791 0.266
0.475 0.291 0.266
0.500 0.500 0.000
0.791 0.975 0.266
0.525 0.709 0.734
0.209 0.025 0.734
0.250 0.250 0.500
0.750 0.750 0.500
0.139 0.361 0.000
0.861 0.639 0.000
0.361 0.861 0.000
0.639 0.139 0.000
```

=====

Record 2
YIrPb2: relaxed, PBE-GGA.

## Properties
E_form: -0.1291 eV/atom
Space group: No. 12
Density of states at the Fermi level: 0.57 states/eV/atom

```
YIrPb2
1.0
4.630 -0.067 0.071
2.350 3.990 0.071
2.277 1.280 5.179
Pb Y Ir
2 1 1
direct
0.519 0.519 0.444
0.981 0.981 0.056
0.750 0.750 0.750
0.250 0.250 0.250
```

=====

Record 3
Y3IrPb: relaxed, PBE-GGA.

## Properties
E_form: -0.0465 eV/atom
Space group: No. 63
Density of states at the Fermi level: 1.10 states/eV/atom

```
Y3IrPb
1.0
-4.382 6.283 -1.297
-4.832 -4.798 3.741
1.523 1.996 4.527
Pb Y Ir
2 6 2
direct
0.771 0.229 0.750
0.229 0.771 0.250
0.548 0.800 0.750
0.000 0.000 0.000
0.452 0.200 0.250
0.800 0.548 0.250
0.000 0.000 0.500
0.200 0.452 0.750
0.548 0.452 0.750
0.452 0.548 0.250
```

=====

Record 4
YIr2Pb: relaxed, PBE-GGA.

## Properties
E_form: -0.2681 eV/atom
Space group: No. 123
Density of states at the Fermi level: 0.41 states/eV/atom

```
YIr2Pb
1.0
-3.781 2.375 0.456
0.220 -0.505 4.456
2.068 3.241 0.265
Y Ir Pb
1 2 1
direct
0.000 0.500 0.500
0.500 0.500 0.000
0.000 0.000 0.000
0.500 0.000 0.500
```

=====

Record 5
Y3IrPb: relaxed, PBE-GGA.

## Properties
E_form: -0.4809 eV/atom
Space group: No. 15
Density of states at the Fermi level: 0.93 states/eV/atom

```
Y3IrPb
1.0
-12.708 1.484 -2.295
-6.093 -6.406 -3.034
4.192 -6.548 5.188
Y Ir Pb
12 4 4
direct
0.989 0.052 0.267
0.101 0.581 0.589
0.511 0.767 0.552
0.032 0.227 0.989
0.011 0.948 0.733
0.968 0.773 0.011
0.399 0.089 0.081
0.601 0.911 0.919
0.468 0.489 0.727
0.489 0.233 0.448
0.899 0.419 0.411
0.532 0.511 0.273
0.750 0.243 0.743
0.250 0.504 0.004
0.750 0.496 0.996
0.250 0.757 0.257
0.150 0.340 0.356
0.850 0.660 0.644
0.650 0.144 0.160
0.350 0.856 0.840
```

=====

Record 6
YIrPb2: relaxed, PBE-GGA.

## Properties
E_form: -0.1106 eV/atom
Space group: No. 44
Density of states at the Fermi level: 0.63 states/eV/atom

```
YIrPb2
1.0
6.016 0.079 0.025
2.646 5.404 -0.025
-3.886 -3.445 3.039
Pb Y Ir
2 1 1
direct
0.749 0.249 0.500
0.036 0.036 0.000
0.460 0.460 0.000
0.254 0.754 0.500
```

=====

Record 7
YIrPb2: relaxed, PBE-GGA.

## Properties
E_form: -0.0752 eV/atom
Space group: No. 119
Density of states at the Fermi level: 0.55 states/eV/atom

```
YIrPb2
1.0
5.627 0.098 0.000
1.945 5.281 0.000
-3.786 -2.690 3.179
Y Ir Pb
1 1 2
direct
0.500 0.500 0.000
0.750 0.250 0.500
0.250 0.750 0.500
0.000 0.000 0.000
```

=====

Record 8
YIrPb2: relaxed, PBE-GGA.

## Properties
E_form: -0.0876 eV/atom
Space group: No. 216
Density of states at the Fermi level: 0.23 states/eV/atom

```
YIrPb2
1.0
-4.595 1.736 1.415
-4.129 -1.124 -2.796
-3.510 -3.243 1.814
Pb Y Ir
2 1 1
direct
0.000 0.000 0.000
0.250 0.250 0.250
0.750 0.750 0.750
0.500 0.500 0.500
```

=====

Record 9
YIrPb2: relaxed, PBE-GGA.

## Properties
E_form: -0.2244 eV/atom
Space group: No. 99
Density of states at the Fermi level: 0.42 states/eV/atom

```
YIrPb2
1.0
-3.091 -1.521 -0.194
0.967 -2.274 2.411
-2.974 5.259 6.152
Pb Y Ir
2 1 1
direct
0.000 0.000 0.950
0.500 0.500 0.260
0.000 0.000 0.557
0.500 0.500 0.734
```

=====

Record 10
Y3IrPb: relaxed, PBE-GGA.

## Properties
E_form: 0.1126 eV/atom
Space group: No. 38
Density of states at the Fermi level: 0.92 states/eV/atom

```
Y3IrPb
1.0
3.789 0.000 0.000
0.000 3.843 -7.779
0.000 3.843 7.779
Ir Y Pb
1 3 1
direct
0.000 0.426 0.574
0.500 0.679 0.822
0.000 0.256 0.744
0.500 0.178 0.321
0.500 0.089 0.911
```

=====

Record 11
YIrPb2: relaxed, PBE-GGA.

## Properties
E_form: -0.0210 eV/atom
Space group: No. 225
Density of states at the Fermi level: 0.19 states/eV/atom

```
YIrPb2
1.0
0.000 3.582 3.582
3.582 0.000 3.582
3.582 3.582 0.000
Pb Ir Y
2 1 1
direct
0.250 0.250 0.250
0.750 0.750 0.750
0.500 0.500 0.500
0.000 0.000 0.000
```

=====

Record 12
Y3IrPb: relaxed, PBE-GGA.

## Properties
E_form: -0.5263 eV/atom
Space group: No. 51
Density of states at the Fermi level: 0.98 states/eV/atom

```
Y3IrPb
1.0
-5.592 10.858 -21.916
-5.317 -3.568 -0.411
0.235 -1.463 9.669
Pb Y Ir
4 12 4
direct
0.924 0.750 0.924
0.076 0.250 0.076
0.424 0.750 0.424
0.576 0.250 0.576
0.250 0.500 0.750
0.860 0.250 0.860
0.437 0.250 0.937
0.937 0.250 0.437
0.750 0.000 0.250
0.063 0.750 0.563
0.750 0.500 0.250
0.140 0.750 0.140
0.360 0.250 0.360
0.640 0.750 0.640
0.563 0.750 0.063
0.250 0.000 0.750
0.603 0.250 0.103
0.897 0.750 0.397
0.103 0.250 0.603
0.397 0.750 0.897
```